Record 1
Below is a geometry-optimized CsPm2OsO8 structure, with properties calculated at the PBE level.

Cell: 5.277 4.486 7.707 Å, 74.08 90.85 92.32°
Atoms (fractional coordinates):
1 O 0.232 0.214 0.113
2 O 0.510 0.329 0.510
3 O 0.014 0.336 0.788
4 O 0.986 0.664 0.212
5 O 0.490 0.671 0.490
6 O 0.768 0.786 0.887
7 O 0.298 0.838 0.907
8 O 0.702 0.162 0.093
9 Os 0.000 0.000 0.000
10 Cs 0.000 0.000 0.500
11 Pm 0.484 0.388 0.804
12 Pm 0.516 0.612 0.196

Properties
Density of states at the Fermi level in states/eV per cell: 2.88
Formation energy from raw total energies in eV per atom: -1.9490
Total energy in eV/atom: -7.05
Total moment in μB per formula unit: 1.0



Record 2
Below is a geometry-optimized Ac2NF structure, with properties calculated at the PBE level.

Cell: 3.827 3.827 7.194 Å, 74.57 74.57 60.00°
Atoms (fractional coordinates):
1 Ac 0.071 0.071 0.787
2 Ac 0.261 0.261 0.216
3 F 0.500 0.500 0.501
4 N 0.668 0.668 0.996

Properties
Density of states at the Fermi level in states/eV per cell: 1.66
Formation energy from raw total energies in eV per atom: -1.7679
Total energy in eV/atom: -6.37
Total moment in μB per formula unit: 0.0
ΔE to the lowest computed polymorph in meV/atom: 64



Record 3
Below is a geometry-optimized TaNiCl structure, with properties calculated at the PBE level.

Cell: 3.102 3.102 6.691 Å, 90.00 90.00 120.00°
Atoms (fractional coordinates):
1 Ni 0.333 0.667 0.401
2 Ta 0.667 0.333 0.662
3 Cl 0.000 0.000 0.938

Properties
Density of states at the Fermi level in states/eV per cell: 1.97
Formation energy from raw total energies in eV per atom: -0.0924
Total energy in eV/atom: -6.59
Total moment in μB per formula unit: 0.0
ΔE to the lowest computed polymorph in meV/atom: 0



Record 4
Below is a geometry-optimized TaInCuRh structure, with properties calculated at the PBE level.

Cell: 4.504 4.504 4.504 Å, 60.00 60.00 60.00°
Atoms (fractional coordinates):
1 In 0.000 0.000 0.000
2 Ta 0.500 0.500 0.500
3 Rh 0.750 0.750 0.750
4 Cu 0.250 0.250 0.250

Properties
Density of states at the Fermi level in states/eV per cell: 1.40
Total energy in eV/atom: -6.69
Total moment in μB per formula unit: 0.0
Energy of formation in eV/atom: -0.176



Record 5
Below is a geometry-optimized Pr2Nd6Sm3 structure, with properties calculated at the PBE level.

Cell: 3.672 3.672 33.067 Å, 86.82 86.82 60.00°
Atoms (fractional coordinates):
1 Sm 0.727 0.727 0.820
2 Sm 0.273 0.273 0.180
3 Sm 0.000 0.000 0.000
4 Pr 0.454 0.454 0.638
5 Pr 0.546 0.546 0.362
6 Nd 0.910 0.910 0.270
7 Nd 0.182 0.182 0.454
8 Nd 0.818 0.818 0.546
9 Nd 0.090 0.090 0.730
10 Nd 0.363 0.363 0.910
11 Nd 0.637 0.637 0.090

Properties
Density of states at the Fermi level in states/eV per cell: 15.23
Total energy in eV/atom: -4.75
Total moment in μB per formula unit: 0.0
ΔE to the lowest computed polymorph in meV/atom: 0
Energy of formation in eV/atom: 0.010



Record 6
Below is a geometry-optimized Na2HfNpSe4 structure, with properties calculated at the PBE level.

Cell: 3.979 6.950 7.451 Å, 107.77 90.00 90.00°
Atoms (fractional coordinates):
1 Np 0.000 0.000 0.000
2 Se 0.500 0.262 0.232
3 Se 0.500 0.738 0.768
4 Se 0.000 0.275 0.776
5 Se 0.000 0.725 0.224
6 Hf 0.500 0.500 0.000
7 Na 0.500 0.000 0.500
8 Na 0.000 0.500 0.500

Properties
Density of states at the Fermi level in states/eV per cell: 10.30
Formation energy from raw total energies in eV per atom: -1.2129
Total energy in eV/atom: -6.15
Total moment in μB per formula unit: 4.7



Record 7
Below is a geometry-optimized Cs2HfTlSe4 structure, with properties calculated at the PBE level.

Cell: 7.057 8.338 13.243 Å, 83.53 74.55 64.97°
Atoms (fractional coordinates):
1 Cs 0.569 0.500 0.862
2 Cs 0.931 0.500 0.138
3 Cs 0.181 0.000 0.638
4 Cs 0.819 0.000 0.362
5 Se 0.498 0.697 0.389
6 Se 0.252 0.803 0.111
7 Se 0.113 0.303 0.389
8 Se 0.805 0.697 0.611
9 Se 0.166 0.197 0.889
10 Se 0.945 0.803 0.889
11 Se 0.584 0.303 0.611
12 Se 0.637 0.197 0.111
13 Tl 0.500 0.000 0.000
14 Tl 0.250 0.500 0.500
15 Hf 0.000 0.000 0.000
16 Hf 0.750 0.500 0.500

Properties
Density of states at the Fermi level in states/eV per cell: 10.07
Formation energy from raw total energies in eV per atom: -1.0316
Total energy in eV/atom: -4.53
Total moment in μB per formula unit: 0.0



Record 8
Below is a geometry-optimized Na3CoRu structure, with properties calculated at the PBE level.

Cell: 5.229 5.229 5.229 Å, 90.00 90.00 90.00°
Atoms (fractional coordinates):
1 Na 0.500 0.000 0.000
2 Na 0.000 0.000 0.500
3 Na 0.000 0.500 0.000
4 Ru 0.500 0.500 0.500
5 Co 0.000 0.000 0.000

Properties
Density of states at the Fermi level in states/eV per cell: 5.42
Total energy in eV/atom: -2.52
Total moment in μB per formula unit: 4.0
ΔE to the lowest computed polymorph in meV/atom: 0
Energy of formation in eV/atom: 1.550